Tl2Sn2Cl | PBE | relaxed

a = 8.7029 Å, b = 8.7029 Å, c = 4.1280 Å
α = 90.00°, β = 90.00°, γ = 90.00°
With the nearest neighbours (Å) after each atom.
Space group P4/mbm (No. 127)
One atom of each set of equivalent atoms:
Tl 0.1886 0.3114 0.0000  6 Sn 3.16-3.43, 2 Cl 3.17
Sn 0.1174 0.6174 0.5000  1 Sn 2.89, 2 Tl 3.16
Cl 0.0000 0.0000 0.0000  4 Tl 3.17

## Properties
Total energy in eV/atom: -3.003
E_form (uncorrected) in eV/atom: -0.086
N(E_F) in states/eV/f.u.: 2.34
Crystal system: tetragonal
M_tot in μB/atom: 0.0000
V in Å³/cell: 312.7
Energy above the most stable polymorph in this dataset in eV per atom: 0.145